(1)
Zr3CdC (GGA-PBE, optimized geometry); uncorrected energy = -7.528 eV/atom; excess energy over the best structure of this formula in the dataset = 58 meV per atom; DOS(E_F) = 4.52 states/eV/f.u.; energy relative to the elements = -1.9 eV/f.u.
1.0
6.395 0.000 0.000
0.000 5.443 0.000
3.197 0.000 5.538
Zr C Cd
6 2 2
Cartesian
1.962 3.654 2.573 Zr
6.777 0.933 3.487 Zr
5.161 0.933 0.687 Zr
6.777 3.654 5.312 Zr
3.544 3.655 5.312 Zr
3.544 0.933 3.486 Zr
8.358 5.015 4.399 C
8.358 2.294 4.399 C
5.160 3.655 2.553 Cd
1.963 0.934 0.707 Cd


(2)
Dy12Fe6Pb (GGA-PBE, optimized geometry); uncorrected energy = -5.870 eV/atom; DOS(E_F) = 15.67 states/eV/f.u.; energy relative to the elements = -1.8 eV/f.u.
1.0
7.940 0.000 -2.807
-3.970 6.876 -2.807
0.000 0.000 8.421
Dy Fe Pb
12 6 1
Cartesian
0.808 5.528 2.222 Dy
-1.222 4.812 5.029 Dy
2.000 6.160 -2.828 Dy
0.365 2.064 2.786 Dy
6.334 1.348 2.828 Dy
3.161 1.348 0.585 Dy
0.414 3.412 -0.585 Dy
3.556 3.464 3.392 Dy
1.970 0.716 5.636 Dy
3.605 4.812 0.021 Dy
-2.365 5.528 -0.021 Dy
5.192 2.064 -2.222 Dy
1.119 3.438 5.002 Fe
-1.552 4.188 2.195 Fe
2.850 3.438 -2.195 Fe
5.522 2.688 0.612 Fe
0.433 6.126 -0.612 Fe
3.537 0.750 3.419 Fe
0.000 0.000 0.000 Pb


(3)
TlPdF3 (GGA-PBE, optimized geometry); uncorrected energy = -3.725 eV/atom; excess energy over the best structure of this formula in the dataset = 350 meV per atom; DOS(E_F) = 0.98 states/eV/f.u.; energy relative to the elements, uncorrected = -526 kJ/mol of formula units
1.0
-4.498 -1.095 -2.011
0.857 -4.916 0.761
-4.750 -2.540 5.675
F Tl Pd
6 2 2
Cartesian
-3.421 -6.304 4.751 F
-3.179 -5.619 0.757 F
-3.023 -2.814 1.960 F
-3.837 -3.912 4.381 F
-5.369 -5.736 2.466 F
-0.991 -5.087 1.735 F
-4.845 -3.430 0.038 Tl
-6.224 -3.211 3.002 Tl
-2.857 -5.230 2.906 Pd
0.000 0.000 0.000 Pd


(4)
Tb6PmDy2Y2 (GGA-PBE, optimized geometry); uncorrected energy = -4.810 eV/atom; DOS(E_F) = 17.87 states/eV/f.u.; energy relative to the elements = 1.8 eV/f.u.
1.0
-2.151 -0.639 6.263
6.181 -0.447 -2.420
-2.688 11.529 -2.325
Tb Y Pm Dy
6 2 1 2
Cartesian
1.025 1.598 3.568 Tb
0.317 8.845 -2.050 Tb
0.950 7.431 1.076 Tb
3.571 1.657 0.914 Tb
-2.229 8.786 0.604 Tb
0.392 3.012 0.442 Tb
-1.013 -0.612 5.077 Y
5.043 -0.473 -1.234 Y
-1.344 5.764 -1.163 Pm
-1.010 5.183 2.511 Dy
2.352 5.260 -0.993 Dy


(5)
LiYSe2 (GGA-PBE, optimized geometry); uncorrected energy = -5.258 eV/atom; DOS(E_F) = 0.37 states/eV/f.u.; energy relative to the elements, uncorrected = -549 kJ/mol of formula units
1.0
3.574 0.000 0.000
0.000 3.655 -0.060
0.000 1.059 7.146
Y Se Li
1 2 1
Cartesian
1.787 1.178 1.771 Y
0.000 2.991 3.398 Se
0.000 3.020 0.085 Se
1.787 3.535 5.314 Li


(6)
MgZnNO2 (GGA-PBE, optimized geometry); uncorrected energy = -4.263 eV/atom; DOS(E_F) = 1.40 states/eV/f.u.; energy relative to the elements, uncorrected = -20 kJ/mol of formula units
1.0
-0.376 2.697 -2.858
-1.050 -2.836 -2.538
-3.594 0.492 0.937
Zn O N Mg
1 2 1 1
Cartesian
0.000 0.000 0.000 Zn
-0.525 -1.418 -1.269 O
-0.188 1.348 -1.429 O
-1.797 0.246 0.469 N
-2.510 0.177 -2.229 Mg